First-principles (PBE) data for a relaxed structure of TaIrRu2, as listed in Alexandria via LeMat-Bulk.

a = 3.820 Å, b = 2.808 Å, c = 6.288 Å
α = 63.45°, β = 90.00°, γ = 90.00°
Atoms (fractional coordinates):
Ru  0.500  0.270  0.231
Ir  0.500  0.746  0.753
Ta  0.000  0.499  0.501
Ru  0.000  0.985  0.015

Values from the calculation:
The mass density comes out at 15.83 g/cm³. For the electronic total energy, the calculation gives -10.061 eV/atom. As for the density of states at the Fermi level: 2.9 states/eV per cell. As for the calculated volume: 15.1 Å³/atom.

=====

First-principles (PBE) data for a relaxed structure of TaIrRu2, as listed in Alexandria via LeMat-Bulk.

a = 4.423 Å, b = 4.423 Å, c = 4.423 Å
α = 60.00°, β = 60.00°, γ = 60.00°
Site moments in Bohr magnetons follow the coordinates.
Atoms (fractional coordinates):
Ir  0.500  0.500  0.500  0.50
Ru  0.750  0.750  0.750  0.35
Ta  0.000  0.000  0.000  -0.01
Ru  0.250  0.250  0.250  0.35

Values from the calculation:
The mass density comes out at 15.62 g/cm³. For the electronic total energy, the calculation gives -9.729 eV/atom. As for the density of states at the Fermi level: 6.3 states/eV per cell. As for the calculated volume: 15.3 Å³/atom.

=====

First-principles (PBE) data for a relaxed structure of TaIrRu3, as listed in Alexandria via LeMat-Bulk.

a = 4.621 Å, b = 4.621 Å, c = 4.621 Å
α = 90.00°, β = 90.00°, γ = 90.00°
Site moments in Bohr magnetons follow the coordinates.
Atoms (fractional coordinates):
Ir  0.500  0.500  0.500  0.58
Ru  0.000  0.000  0.500  0.81
Ta  0.000  0.000  0.000  -0.14
Ru  0.000  0.500  0.000  0.87
Ru  0.500  0.000  0.000  0.74

Values from the calculation:
The mass density comes out at 11.38 g/cm³. For the electronic total energy, the calculation gives -7.829 eV/atom. As for the density of states at the Fermi level: 7.9 states/eV per cell. As for the calculated volume: 19.7 Å³/atom.

=====

First-principles (PBE) data for a relaxed structure of TaIrRu2, as listed in Alexandria via LeMat-Bulk.

a = 3.837 Å, b = 3.837 Å, c = 9.384 Å
α = 78.20°, β = 78.20°, γ = 90.00°
Atoms (fractional coordinates):
Ta  0.500  0.500  0.000
Ir  0.000  0.000  0.000
Ir  0.750  0.250  0.500
Ru  0.649  0.125  0.250
Ru  0.375  0.351  0.750
Ta  0.250  0.750  0.500
Ru  0.875  0.899  0.750
Ru  0.101  0.625  0.250

Values from the calculation:
The mass density comes out at 14.44 g/cm³. For the electronic total energy, the calculation gives -9.501 eV/atom. As for the density of states at the Fermi level: 10.7 states/eV per cell. As for the calculated volume: 16.5 Å³/atom.

=====

First-principles (PBE) data for a relaxed structure of Ta3IrRu2, as listed in Alexandria via LeMat-Bulk.

a = 4.223 Å, b = 6.699 Å, c = 7.209 Å
α = 90.00°, β = 90.00°, γ = 71.63°
Atoms (fractional coordinates):
Ir  0.332  0.336  0.000
Ta  0.833  0.334  0.743
Ir  0.668  0.664  0.000
Ta  0.167  0.666  0.257
Ta  0.167  0.666  0.743
Ta  0.833  0.334  0.257
Ru  0.334  0.333  0.500
Ta  0.500  0.000  0.253
Ru  0.666  0.667  0.500
Ta  0.500  0.000  0.747
Ru  0.000  0.000  0.000
Ru  0.000  0.000  0.500

Values from the calculation:
The mass density comes out at 16.08 g/cm³. For the electronic total energy, the calculation gives -10.866 eV/atom. As for the density of states at the Fermi level: 13.4 states/eV per cell. As for the calculated volume: 16.1 Å³/atom.

=====

First-principles (PBE) data for a relaxed structure of TaIrRu2, as listed in Alexandria via LeMat-Bulk.

a = 4.794 Å, b = 4.794 Å, c = 4.794 Å
α = 131.79°, β = 131.79°, γ = 70.55°
Atoms (fractional coordinates):
Ru  0.500  0.500  0.000
Ru  0.000  0.000  0.000
Ir  0.250  0.750  0.500
Ta  0.750  0.250  0.500

Values from the calculation:
The mass density comes out at 15.92 g/cm³. For the electronic total energy, the calculation gives -10.103 eV/atom. As for the density of states at the Fermi level: 3.6 states/eV per cell. As for the calculated volume: 15.0 Å³/atom.

=====

First-principles (PBE) data for a relaxed structure of TaIrRu, as listed in Alexandria via LeMat-Bulk.

a = 2.799 Å, b = 2.799 Å, c = 6.858 Å
α = 90.00°, β = 90.00°, γ = 120.00°
Atoms (fractional coordinates):
Ta  0.333  0.667  0.667
Ir  0.000  0.000  0.002
Ru  0.667  0.333  0.331

Values from the calculation:
The mass density comes out at 16.92 g/cm³. For the electronic total energy, the calculation gives -10.063 eV/atom. As for the density of states at the Fermi level: 3.9 states/eV per cell. As for the calculated volume: 15.5 Å³/atom.

=====

First-principles (PBE) data for a relaxed structure of TaIrRu, as listed in Alexandria via LeMat-Bulk.

a = 6.298 Å, b = 6.299 Å, c = 2.786 Å
α = 77.21°, β = 77.24°, γ = 25.55°
Atoms (fractional coordinates):
Ta  0.666  0.666  0.334
Ru  0.338  0.338  0.662
Ir  0.996  0.996  0.004

Values from the calculation:
The mass density comes out at 16.96 g/cm³. For the electronic total energy, the calculation gives -10.194 eV/atom. As for the density of states at the Fermi level: 4.0 states/eV per cell. As for the calculated volume: 15.5 Å³/atom.

=====

First-principles (PBE) data for a relaxed structure of TaIrRu, as listed in Alexandria via LeMat-Bulk.

a = 4.411 Å, b = 4.411 Å, c = 2.777 Å
α = 90.00°, β = 90.00°, γ = 120.00°
Atoms (fractional coordinates):
Ir  0.000  0.000  0.000
Ru  0.667  0.333  0.500
Ta  0.333  0.667  0.500

Values from the calculation:
The mass density comes out at 16.83 g/cm³. For the electronic total energy, the calculation gives -10.168 eV/atom. As for the density of states at the Fermi level: 2.3 states/eV per cell. As for the calculated volume: 15.6 Å³/atom.

=====

First-principles (PBE) data for a relaxed structure of Ta3Ir2Ru, as listed in Alexandria via LeMat-Bulk.

a = 3.771 Å, b = 4.137 Å, c = 12.401 Å
α = 90.00°, β = 90.00°, γ = 90.00°
Atoms (fractional coordinates):
Ru  0.000  0.000  0.000
Ir  0.000  0.000  0.332
Ir  0.000  0.500  0.832
Ta  0.500  0.000  0.834
Ir  0.000  0.500  0.168
Ta  0.500  0.500  0.666
Ta  0.500  0.000  0.166
Ru  0.000  0.500  0.500
Ir  0.000  0.000  0.668
Ta  0.500  0.500  0.334
Ta  0.500  0.500  0.000
Ta  0.500  0.000  0.500

Values from the calculation:
The mass density comes out at 17.65 g/cm³. For the electronic total energy, the calculation gives -10.903 eV/atom. As for the density of states at the Fermi level: 12.1 states/eV per cell. As for the calculated volume: 16.1 Å³/atom.

=====

First-principles (PBE) data for a relaxed structure of TaIrRu3, as listed in Alexandria via LeMat-Bulk.

a = 4.620 Å, b = 4.620 Å, c = 4.620 Å
α = 90.00°, β = 90.00°, γ = 90.00°
Atoms (fractional coordinates):
Ru  0.000  0.000  0.500
Ir  0.000  0.000  0.000
Ta  0.500  0.500  0.500
Ru  0.500  0.000  0.000
Ru  0.000  0.500  0.000

Values from the calculation:
The mass density comes out at 11.39 g/cm³. For the electronic total energy, the calculation gives -7.926 eV/atom. As for the density of states at the Fermi level: 10.1 states/eV per cell. As for the calculated volume: 19.7 Å³/atom.

=====

First-principles (PBE) data for a relaxed structure of TaIr6Ru, as listed in Alexandria via LeMat-Bulk.

a = 3.889 Å, b = 5.515 Å, c = 5.515 Å
α = 90.00°, β = 90.00°, γ = 90.00°
Atoms (fractional coordinates):
Ta  0.500  0.000  0.000
Ir  0.500  0.500  0.000
Ru  0.500  0.500  0.500
Ir  0.000  0.746  0.254
Ir  0.500  0.000  0.500
Ir  0.000  0.254  0.746
Ir  0.000  0.254  0.254
Ir  0.000  0.746  0.746

Values from the calculation:
The mass density comes out at 20.15 g/cm³. For the electronic total energy, the calculation gives -9.571 eV/atom. As for the density of states at the Fermi level: 7.7 states/eV per cell. As for the calculated volume: 14.8 Å³/atom.